Entry 1:
VASP calculation (meta-GGA SCAN) on a PBEsol-optimized structure of LiAl2Ru.

Geometry as POSCAR:
```
LiAl2Ru
1.0
4.209 0.000 0.000
0.000 4.209 0.000
0.000 0.000 3.009
Li Al Ru
1 2 1
Direct
0.000 0.000 0.000
0.000 0.500 0.500
0.500 0.000 0.500
0.500 0.500 0.000
```

Computed properties:
* calculated volume: 13.32 Å³/atom
* DFT formation energy: -0.570 eV per atom
* density: 5.0 g cm⁻³

=====

Entry 2:
VASP calculation (meta-GGA SCAN) on a PBEsol-optimized structure of Al2Ni.

Geometry as POSCAR:
```
Al2Ni
1.0
4.561 -1.473 0.000
4.561 1.473 0.000
-3.274 0.000 6.021
Al Ni
4 2
Direct
0.098 0.098 0.370
0.345 0.345 0.945
0.655 0.655 0.055
0.902 0.902 0.630
0.362 0.362 0.320
0.638 0.638 0.680
```

Computed properties:
* calculated volume: 13.49 Å³/atom
* DFT formation energy: -0.530 eV per atom
* density: 4.6 g cm⁻³

=====

Entry 3:
VASP calculation (meta-GGA SCAN) on a PBEsol-optimized structure of AlInBr2.

Geometry as POSCAR:
```
AlInBr2
1.0
-4.092 4.092 3.323
4.092 -4.092 3.323
4.092 4.092 -3.323
Al In Br
2 2 4
Direct
0.000 0.000 0.000
0.750 0.250 0.500
0.250 0.750 0.500
0.500 0.500 0.000
0.087 0.625 0.962
0.375 0.337 0.462
0.663 0.125 0.038
0.875 0.913 0.538
```

Computed properties:
* energy: -20.3084 eV/atom
* calculated volume: 27.82 Å³/atom
* density: 4.5 g cm⁻³

=====

Entry 4:
VASP calculation (meta-GGA SCAN) on a PBEsol-optimized structure of Li2PIr.

Geometry as POSCAR:
```
Li2PIr
1.0
4.043 0.000 0.000
0.000 1.414 4.843
0.000 -1.414 4.843
Li P Ir
2 1 1
Direct
0.000 0.000 0.000
0.500 0.354 0.354
0.000 0.727 0.727
0.500 0.625 0.625
```

Computed properties:
* calculated volume: 13.84 Å³/atom
* DFT formation energy: -0.454 eV per atom
* density: 7.1 g cm⁻³

=====

Entry 5:
VASP calculation (meta-GGA SCAN) on a PBEsol-optimized structure of LaTcSe2.

Geometry as POSCAR:
```
LaTcSe2
1.0
3.721 0.000 0.000
0.000 3.721 0.000
0.000 0.000 6.165
La Tc Se
1 1 2
Direct
0.000 0.000 0.000
0.500 0.500 0.623
0.000 0.000 0.527
0.500 0.500 0.201
```

Computed properties:
* energy: -30.2699 eV/atom
* calculated volume: 21.33 Å³/atom
* density: 7.7 g cm⁻³

=====

Entry 6:
VASP calculation (meta-GGA SCAN) on a PBEsol-optimized structure of Mn2MoPt.

Geometry as POSCAR:
```
Mn2MoPt
1.0
-1.850 1.850 3.813
1.850 -1.850 3.813
1.850 1.850 -3.813
Mn Mo Pt
2 1 1
Direct
0.000 0.000 0.000
0.750 0.250 0.500
0.500 0.500 0.000
0.250 0.750 0.500
```

Computed properties:
* calculated volume: 13.04 Å³/atom
* DFT formation energy: -0.298 eV per atom
* density: 12.8 g cm⁻³

=====

- Which value of density does entry 4 give?
  7.1 g cm⁻³